MgIr2W | the Alexandria database | GGA-PBE | optimized geometry; ΔE_f = 0.2413 eV/atom; spin magnetization = 0.225 μB/atom
1.0
-1.451 -1.156 -4.023
-3.745 -2.329 -0.419
-3.623 1.915 -1.682
Ir W Mg
2 1 1
direct
0.250 0.250 0.250
0.000 0.000 0.000
0.750 0.750 0.750
0.500 0.500 0.500



MgIr2W | the Alexandria database | GGA-PBE | optimized geometry; ΔE_f = -0.1054 eV/atom; spin magnetization = 0.000 μB/atom
1.0
-0.991 0.977 2.435
1.131 -3.544 1.883
4.769 2.104 1.096
W Mg Ir
1 1 2
direct
0.500 0.500 0.769
0.000 0.000 0.468
0.500 0.500 0.297
0.000 0.000 0.966



MgIr2W | the Alexandria database | GGA-PBE | optimized geometry; ΔE_f = -0.2158 eV/atom; spin magnetization = 0.000 μB/atom
1.0
-3.548 2.986 -0.201
-2.606 -1.736 -3.426
1.618 -2.228 3.736
W Mg Ir
1 1 2
direct
0.250 0.750 0.500
0.750 0.250 0.500
0.500 0.500 0.000
0.000 0.000 0.000



MgIr2W | the Alexandria database | GGA-PBE | optimized geometry; ΔE_f = -0.0578 eV/atom; spin magnetization = 0.000 μB/atom
1.0
-2.867 2.736 1.248
0.479 -1.287 3.921
2.536 2.435 0.489
W Mg Ir
1 1 2
direct
0.000 0.500 0.500
0.500 0.000 0.500
0.500 0.500 0.000
0.000 0.000 0.000



MgIr2W | the Alexandria database | GGA-PBE | optimized geometry; ΔE_f = -0.2617 eV/atom; spin magnetization = 0.000 μB/atom
1.0
-2.268 1.310 1.126
-1.614 -3.247 0.527
2.445 -0.350 5.331
Ir W Mg
2 1 1
direct
0.000 0.000 0.994
0.000 0.000 0.506
0.500 0.500 0.750
0.500 0.500 0.250



MgIr2W | the Alexandria database | GGA-PBE | optimized geometry; ΔE_f = -0.0091 eV/atom; spin magnetization = 0.000 μB/atom
1.0
-0.790 0.834 -4.550
-3.269 0.507 -3.328
-0.516 4.964 0.280
Ir Mg W
2 1 1
direct
0.998 0.998 0.006
0.502 0.502 0.494
0.750 0.750 0.750
0.250 0.250 0.250



MgIr3W2 | the Alexandria database | GGA-PBE | optimized geometry; ΔE_f = -0.3252 eV/atom; spin magnetization = 0.000 μB/atom
1.0
2.842 0.000 0.000
0.000 2.842 0.000
0.000 0.000 11.356
W Ir Mg
2 3 1
direct
0.500 0.500 0.829
0.500 0.500 0.171
0.000 0.000 0.000
0.000 0.000 0.330
0.000 0.000 0.670
0.500 0.500 0.500



MgIr2W | the Alexandria database | GGA-PBE | optimized geometry; ΔE_f = -0.2307 eV/atom; spin magnetization = 0.000 μB/atom
1.0
-3.054 -3.530 0.560
1.667 -0.787 -4.325
2.061 -1.611 1.088
Ir W Mg
2 1 1
direct
0.500 0.500 0.000
0.000 0.000 0.000
0.000 0.500 0.500
0.500 0.000 0.500



spin magnetization of number 4 (MgIr2W)?
0.000 μB/atom



Among the records above, which one has the highest ΔE_f?
number 1



Look up the spin magnetization of the eighth one.
0.000 μB/atom